# GGA+U ScCr2CdO8, optimized geometry
data_ScCr2CdO8
_cell_length_a 7.021
_cell_length_b 7.021
_cell_length_c 6.201
_cell_angle_alpha 90.00
_cell_angle_beta 90.00
_cell_angle_gamma 90.00
_symmetry_space_group_name_H-M 'I -4 m 2'
_symmetry_Int_Tables_number 119
_symmetry_space_group_name_Hall 'I -4 -2'
loop_
_atom_site_label
_atom_site_type_symbol
_atom_site_fract_x
_atom_site_fract_y
_atom_site_fract_z
Sc1 Sc 0.000 0.000 0.000
Cr1 Cr 0.000 0.000 0.500
Cr2 Cr 0.000 0.500 0.250
Cd1 Cd 0.000 0.500 0.750
O1 O 0.000 0.181 0.672
O2 O 0.000 0.300 0.086
# * uncorrected energy: -6.797 eV/atom
# * crystal system: tetragonal
# * volume: 12.74 Å³ per atom